# 1
SmGe2Pt7Pb2 | the Alexandria database | PBE | relaxed; energy of formation from the pure elements = -0.508 eV per atom
1.0
4.024 -0.003 0.001
0.002 4.024 0.001
1.990 1.987 15.696
Pt Ge Pb Sm
7 2 2 1
Cartesian
4.024 2.008 2.235
2.013 4.022 2.235
1.991 4.000 13.464
4.002 1.986 13.464
2.013 2.010 0.001
2.001 1.998 6.147
4.015 4.010 9.551
2.012 2.009 3.714
4.004 3.999 11.984
4.016 4.011 6.629
2.000 1.997 9.070
0.000 0.000 0.000


# 2
Sr2GePtPb | the Alexandria database | PBE | relaxed; energy of formation from the pure elements = -0.531 eV per atom
1.0
5.941 0.000 0.000
0.000 5.941 0.000
0.000 0.000 4.697
Pb Sr Pt Ge
1 2 1 1
Cartesian
2.971 2.971 2.348
2.971 0.000 0.000
0.000 2.971 0.000
0.000 0.000 0.000
0.000 0.000 2.348


# 3
SrGe2PtPb | the Alexandria database | PBE | relaxed; energy of formation from the pure elements = 1.004 eV per atom
1.0
-4.278 2.631 -2.405
-3.352 -3.598 2.026
-0.625 3.145 4.552
Ge Pb Sr Pt
2 1 1 1
Cartesian
-2.139 1.316 -1.202
-0.312 1.572 2.276
-4.127 1.089 2.087
0.000 0.000 0.000
-1.676 -1.799 1.013


| no. | V (Å³/cell) | density of states at the Fermi level (states/eV per cell) |
| --- | --- | --- |
| 1 | 254.2 | 3.89 |
| 2 | 165.8 | 3.16 |
| 3 | 164.9 | 3.30 |